Record 1
VASP calculation (PBE) on a relaxed NaAl2V crystal.

## Properties
Formation energy from the elements, eV/atom: 0.682
Spin magnetization, μB per formula unit: 2.07
Fermi-level density of states, states/eV/f.u.: 2.7
Total DFT energy (no corrections), eV/f.u.: -15.2
ΔE to the lowest computed polymorph, eV per atom: 0.359

a b c (Å): 7.3866 7.3866 5.9828
angles (deg): 51.88 51.88 90.00
Last column: nearest neighbours and their distance in Å.
Atoms (fractional coordinates):
Na1 0.5000 0.5000 0.0000  4 Al 2.83, 2 V 2.92
Na2 0.2500 0.7500 0.5000  4 Al 2.83, 2 V 2.92
Al1 0.6479 0.1250 0.2500  2 V 2.60, 2 Na 2.83
Al2 0.1021 0.6250 0.2500  2 V 2.60, 2 Na 2.83
Al3 0.3750 0.3521 0.7500  2 V 2.60, 2 Na 2.83
Al4 0.8750 0.8979 0.7500  2 V 2.60, 2 Na 2.83
V1 0.0000 0.0000 0.0000  4 Al 2.60
V2 0.7500 0.2500 0.5000  4 Al 2.60

---

Record 2
VASP calculation (PBE) on a relaxed PaOsI crystal.

## Properties
Uncorrected formation energy, meV/atom: -496
Spin magnetization, μB per formula unit: 0.00
Fermi-level density of states, states/eV/f.u.: 1.2
Total DFT energy (no corrections), eV/f.u.: -23.8

a b c (Å): 4.1648 4.1652 12.1273
angles (deg): 89.88 89.61 120.00
Last column: nearest neighbours and their distance in Å.
Atoms (fractional coordinates):
Os1 0.8322 0.6658 0.5395  3 Os 2.59, 3 Pa 2.79-2.80
Os2 0.1678 0.3342 0.4605  3 Os 2.59, 3 Pa 2.79-2.80
Pa1 0.5049 0.0034 0.3430  3 Os 2.79-2.80
Pa2 0.4951 0.9966 0.6570  3 Os 2.79-2.80
I1 0.8439 0.6740 0.1607  3 Pa 3.27
I2 0.1561 0.3260 0.8393  3 Pa 3.27

---

Record 3
VASP calculation (PBE) on a relaxed NdHoSc2Cd4 crystal.

## Properties
Formation energy from the elements, eV/atom: -0.288
Spin magnetization, μB per formula unit: 0.63
Fermi-level density of states, states/eV/f.u.: 8.2
Total DFT energy (no corrections), eV/f.u.: -28.0

a b c (Å): 5.1895 5.1895 9.0183
angles (deg): 73.28 73.28 60.00
Last column: nearest neighbours and their distance in Å.
Atoms (fractional coordinates):
Nd1 0.0000 0.0000 0.0000  8 Cd 3.20-3.24
Ho1 0.5000 0.5000 0.5000  8 Cd 3.13-3.16
Sc1 0.7509 0.7509 0.7472  8 Cd 3.12-3.27
Sc2 0.2491 0.2491 0.2528  8 Cd 3.12-3.27
Cd1 0.3773 0.3773 0.8680  1 Ho 3.13, 4 Sc 3.17-3.27, 3 Nd 3.20
Cd2 0.8732 0.8732 0.3805  4 Sc 3.12-3.19, 3 Ho 3.16, 1 Nd 3.24
Cd3 0.1268 0.1268 0.6195  4 Sc 3.12-3.19, 3 Ho 3.16, 1 Nd 3.24
Cd4 0.6227 0.6227 0.1320  1 Ho 3.13, 4 Sc 3.17-3.27, 3 Nd 3.20

---

Record 4
VASP calculation (PBE) on a relaxed AcTlGa crystal.

## Properties
Formation energy from the elements, eV/atom: -0.399
Spin magnetization, μB per formula unit: 0.00
Fermi-level density of states, states/eV/f.u.: 1.5
Total DFT energy (no corrections), eV/f.u.: -10.7
ΔE to the lowest computed polymorph, eV per atom: 0.061

a b c (Å): 4.3831 6.0499 8.6258
angles (deg): 124.79 104.72 90.00
Last column: nearest neighbours and their distance in Å.
Atoms (fractional coordinates):
Ac1 0.6208 0.9243 0.2416  4 Ga 3.22-3.47, 2 Tl 3.58
Ac2 0.3792 0.0757 0.7584  4 Ga 3.22-3.47, 2 Tl 3.58
Tl1 0.0890 0.3854 0.1779  3 Ga 2.92-3.01
Tl2 0.9110 0.6146 0.8221  3 Ga 2.92-3.01
Ga1 0.7325 0.6224 0.4649  2 Ga 2.89, 3 Tl 2.92-3.01, 2 Ac 3.22
Ga2 0.2675 0.3776 0.5351  2 Ga 2.89, 3 Tl 2.92-3.01, 2 Ac 3.22

---

Record 5
VASP calculation (PBE) on a relaxed TbSm5Dy2 crystal.

## Properties
Formation energy from the elements, eV/atom: 0.024
Spin magnetization, μB per formula unit: 0.00
Fermi-level density of states, states/eV/f.u.: 14.8
Total DFT energy (no corrections), eV/f.u.: -37.2
ΔE to the lowest computed polymorph, eV per atom: 0.008

a b c (Å): 6.8268 13.8960 9.6615
angles (deg): 107.30 66.18 140.48
Last column: nearest neighbours and their distance in Å.
Atoms (fractional coordinates):
Tb1 0.8507 0.6030 0.7289  5 Dy 3.54-3.65, 7 Sm 3.57-3.66
Tb2 0.1493 0.3970 0.2711  5 Dy 3.54-3.65, 7 Sm 3.57-3.66
Sm1 0.2304 0.9799 0.8535  9 Sm 3.56-3.66, 2 Dy 3.60-3.66, 1 Tb 3.66
Sm2 0.0998 0.8528 0.4786  3 Dy 3.56-3.65, 8 Sm 3.56-3.68, 1 Tb 3.65
Sm3 0.5157 0.7683 0.3965  3 Dy 3.56-3.64, 7 Sm 3.56-3.68, 2 Tb 3.57-3.63
Sm4 0.3931 0.6445 0.0212  5 Sm 3.56-3.66, 5 Dy 3.56-3.65, 2 Tb 3.57-3.65
Sm5 0.3601 0.1059 0.2273  8 Sm 3.56-3.66, 3 Dy 3.56-3.67, 1 Tb 3.57
Sm6 0.6399 0.8941 0.7727  8 Sm 3.56-3.66, 3 Dy 3.56-3.67, 1 Tb 3.57
Sm7 0.4843 0.2317 0.6035  3 Dy 3.56-3.64, 7 Sm 3.56-3.68, 2 Tb 3.57-3.63
Sm8 0.6069 0.3555 0.9788  5 Sm 3.56-3.66, 5 Dy 3.56-3.65, 2 Tb 3.57-3.65
Sm9 0.7696 0.0201 0.1465  9 Sm 3.56-3.66, 2 Dy 3.60-3.66, 1 Tb 3.66
Sm10 0.9002 0.1472 0.5214  3 Dy 3.56-3.65, 8 Sm 3.56-3.68, 1 Tb 3.65
Dy1 0.7289 0.4795 0.3540  3 Tb 3.55-3.65, 7 Sm 3.56-3.65, 2 Dy 3.57-3.64
Dy2 0.9741 0.7271 0.1040  2 Tb 3.54-3.65, 9 Sm 3.56-3.67, 1 Dy 3.64
Dy3 0.2711 0.5205 0.6460  3 Tb 3.55-3.65, 7 Sm 3.56-3.65, 2 Dy 3.57-3.64
Dy4 0.0259 0.2729 0.8960  2 Tb 3.54-3.65, 9 Sm 3.56-3.67, 1 Dy 3.64

---

Record 6
VASP calculation (PBE) on a relaxed DyHo3N3 crystal.

## Properties
Uncorrected formation energy, meV/atom: -1413
Spin magnetization, μB per formula unit: 0.00
Fermi-level density of states, states/eV/f.u.: 2.5
Total DFT energy (no corrections), eV/f.u.: -53.2

a b c (Å): 4.8880 4.8880 4.8880
angles (deg): 90.00 90.00 90.00
Last column: nearest neighbours and their distance in Å.
Atoms (fractional coordinates):
Dy1 0.5000 0.5000 0.5000  6 N 2.44
Ho1 0.0000 0.5000 0.0000  4 N 2.44
Ho2 0.0000 0.0000 0.5000  4 N 2.44
Ho3 0.5000 0.0000 0.0000  4 N 2.44
N1 0.5000 0.0000 0.5000  2 Dy 2.44, 4 Ho 2.44
N2 0.5000 0.5000 0.0000  2 Dy 2.44, 4 Ho 2.44
N3 0.0000 0.5000 0.5000  2 Dy 2.44, 4 Ho 2.44

---

Among the records above, which one has the highest spin magnetization?
NaAl2V

---

total DFT energy (no corrections) of number 6 (DyHo3N3)?
-53.2 eV/f.u.

---

Look up the spin magnetization of the fourth one.
0.00 μB per formula unit